Entry 1:
La2Tb5Y4 PBE relaxed; energy relative to the lowest polymorph listed for this composition = 0.00 eV per formula unit; DFT formation energy = 1.6 eV/f.u.
1.0
0.0113 -0.7435 -3.3793
-6.0794 -6.2793 1.3611
-7.7464 9.3852 -0.3194
La Y Tb
2 4 5
Direct
0.0926 0.7480 0.1852
0.9074 0.2520 0.8148
0.9537 0.6379 0.9075
0.3211 0.5266 0.6422
0.6789 0.4734 0.3578
0.0463 0.3621 0.0925
0.5000 0.0000 0.0000
0.8587 0.8754 0.7174
0.7660 0.1738 0.5321
0.2340 0.8262 0.4679
0.1413 0.1246 0.2826

---

Entry 2:
SiTc2RhO PBE relaxed; formation energy without anion corrections = 1.432 eV/atom
1.0
4.4921 0.0000 0.0000
0.0000 4.2998 0.0000
0.0000 0.0000 4.4921
Si Rh O Tc
1 1 1 2
Direct
0.0000 0.0000 0.0000
0.0000 0.5000 0.0000
0.5000 0.5000 0.5000
0.0000 0.0000 0.5000
0.5000 0.0000 0.0000

---

Entry 3:
Hf2ScTiI PBE relaxed; formation energy without anion corrections = 0.871 eV/atom
1.0
4.9561 0.0000 0.0000
0.0000 5.2779 0.0000
0.0000 0.0000 4.9561
Sc Hf I Ti
1 2 1 1
Direct
0.5000 0.5000 0.5000
0.0000 0.0000 0.5000
0.5000 0.0000 0.0000
0.0000 0.5000 0.0000
0.0000 0.0000 0.0000

---

Entry 4:
YTa2Os PBE relaxed; energy relative to the lowest polymorph listed for this composition = 1.70 eV per formula unit; DFT formation energy = 1.7 eV/f.u.
1.0
5.5148 -0.0013 0.0000
-2.7671 4.7704 0.0000
0.0000 0.0000 2.8915
Ta Y Os
2 1 1
Direct
0.5000 0.5000 0.0000
0.0000 0.0000 0.0000
0.5000 0.0000 0.5000
0.0000 0.5000 0.5000

---

Entry 5:
SrCa2Co PBE relaxed; energy relative to the lowest polymorph listed for this composition = 1.14 eV per formula unit; DFT formation energy = 2.2 eV/f.u.
1.0
-0.3687 -1.6148 5.2221
-3.2261 2.7264 3.4890
-4.6180 -2.3074 1.8342
Ca Co Sr
2 1 1
Direct
0.2500 0.2500 0.2500
0.7500 0.7500 0.7500
0.0000 0.0000 0.0000
0.5000 0.5000 0.5000

---

Entry 6:
MgTl2VCl6 PBE relaxed; formation energy without anion corrections = -1.274 eV/atom
1.0
7.0555 0.0000 -0.0194
0.0000 7.0506 -0.0001
0.0334 -0.0002 10.0212
Cl Mg Tl V
12 2 4 2
Direct
0.2239 0.2213 0.0206
0.2214 0.2240 0.4793
0.0410 0.4991 0.7483
0.2760 0.7213 0.4794
0.7240 0.2787 0.5206
0.2786 0.7240 0.0207
0.7786 0.7760 0.5207
0.7761 0.7787 0.9794
0.4590 0.9991 0.7517
0.5410 0.0009 0.2483
0.7214 0.2760 0.9793
0.9590 0.5009 0.2517
0.5000 0.0000 0.5000
0.0000 0.5000 0.0000
0.4962 0.4747 0.2497
0.0038 0.9747 0.2503
0.9962 0.0253 0.7497
0.5038 0.5253 0.7503
0.5000 0.0000 0.0000
0.0000 0.5000 0.5000

---

Entry 7:
Rb2HfTaI6 PBE relaxed; formation energy without anion corrections = -0.496 eV/atom
1.0
8.1870 0.0000 0.0000
0.0000 8.1870 0.0000
4.0935 4.0935 5.7849
Rb I Hf Ta
2 6 1 1
Direct
0.2500 0.7500 0.5000
0.7500 0.2500 0.5000
0.7516 0.7516 0.0000
0.2484 0.7516 0.0000
0.7516 0.2484 0.0000
0.2484 0.2484 0.0000
0.7517 0.7517 0.4966
0.2483 0.2483 0.5034
0.5000 0.5000 0.0000
0.0000 0.0000 0.0000

---

Entry 8:
ZrTaSe2 PBE relaxed; formation energy without anion corrections = -0.593 eV/atom; energy relative to the lowest polymorph listed for this composition = 0.60 eV per formula unit
1.0
4.6733 0.0000 0.0000
0.0000 4.6733 0.0000
0.0000 0.0000 3.2809
Se Ta Zr
2 1 1
Direct
0.0000 0.0000 0.0000
0.5000 0.5000 0.0000
0.5000 0.0000 0.5000
0.0000 0.5000 0.5000

---

Entry 9:
PrNdDyY PBE relaxed; energy relative to the lowest polymorph listed for this composition = 0.00 eV per formula unit; DFT formation energy = 0.1 eV/f.u.
1.0
5.1432 0.0000 0.0000
0.0000 5.1446 0.0000
-2.5716 -2.5723 5.1109
Y Nd Pr Dy
1 1 1 1
Direct
0.4456 0.4456 0.8911
0.9455 0.9455 0.8911
0.6957 0.1957 0.3913
0.1954 0.6954 0.3909

---

Entry 10:
LaTbPmPr3 PBE relaxed; DFT formation energy = 0.1 eV/f.u.
1.0
5.2348 0.0000 0.0000
0.0000 8.1788 -0.7742
0.0000 -3.9539 10.3086
La Pm Pr Tb
2 2 6 2
Direct
0.7500 0.8776 0.7087
0.2500 0.1224 0.2913
0.2500 0.1265 0.6265
0.7500 0.8735 0.3735
0.7500 0.8703 0.0415
0.2500 0.6227 0.7932
0.7500 0.3773 0.2068
0.2500 0.1297 0.9585
0.7500 0.3739 0.5435
0.2500 0.6261 0.4565
0.2500 0.6221 0.1238
0.7500 0.3779 0.8762